(1)
The following is a DFT calculation (PBE) of a relaxed structure of TaSnHgSe2.

Computed properties:
As for the space group: No. 123. The calculation puts the formation energy from raw total energies at 0.107 eV/atom. The total magnetic moment is 0.00 μB per cell.

a b c (Å): 4.9857 5.5488 4.9857
angles (deg): 90.00 90.00 90.00
Closest atoms and distances in Å follow each position.
Element x y z (fractional)
Ta  0.0000  0.0000  0.0000  4 Se 2.49, 2 Hg 2.77
Se  0.0000  0.0000  0.5000  2 Ta 2.49
Se  0.5000  0.0000  0.0000  2 Ta 2.49
Sn  0.5000  0.5000  0.5000  4 Hg 3.53, 8 Se 3.73
Hg  0.0000  0.5000  0.0000  2 Ta 2.77

***

(2)
The following is a DFT calculation (PBE) of a relaxed structure of GaAs2IrSe.

Computed properties:
As for the space group: No. 123. The calculation puts the formation energy from raw total energies at 0.443 eV/atom. The energy above the most stable polymorph in this dataset comes out at 0 meV per atom. The total magnetic moment is 0.00 μB per cell.

a b c (Å): 4.7030 4.7030 5.5670
angles (deg): 90.00 90.00 90.00
Closest atoms and distances in Å follow each position.
Element x y z (fractional)
As  0.5000  0.0000  0.0000  2 Ir 2.35
As  0.0000  0.5000  0.0000  2 Ir 2.35
Ir  0.0000  0.0000  0.0000  4 As 2.35
Se  0.0000  0.0000  0.5000  2 Ir 2.78
Ga  0.5000  0.5000  0.5000  4 Se 3.33, 8 As 3.64

***

(3)
The following is a DFT calculation (PBE) of a relaxed structure of LiLa2Sn2.

Computed properties:
As for the space group: No. 127. The energy above the most stable polymorph in this dataset comes out at 230 meV per atom. The total magnetic moment is 0.00 μB per cell.

a b c (Å): 9.4157 9.4157 3.6456
angles (deg): 90.00 90.00 90.00
Closest atoms and distances in Å follow each position.
Element x y z (fractional)
Li  0.5000  0.5000  0.0000  2 Li 3.65, 4 La 3.69, 8 Sn 3.94
Li  0.0000  0.0000  0.0000  2 Li 3.65, 4 La 3.69, 8 Sn 3.94
La  0.1306  0.3694  0.0000  6 Sn 3.23-3.38, 1 La 3.48
La  0.8694  0.6306  0.0000  6 Sn 3.23-3.38, 1 La 3.48
La  0.6306  0.1306  0.0000  6 Sn 3.23-3.38, 1 La 3.48
La  0.3694  0.8694  0.0000  6 Sn 3.23-3.38, 1 La 3.48
Sn  0.1695  0.6695  0.5000  6 La 3.23-3.38
Sn  0.6695  0.8305  0.5000  6 La 3.23-3.38
Sn  0.3305  0.1695  0.5000  6 La 3.23-3.38
Sn  0.8305  0.3305  0.5000  6 La 3.23-3.38

***

(4)
The following is a DFT calculation (PBE) of a relaxed structure of AlWAu4.

Computed properties:
As for the space group: No. 216. The total magnetic moment is 2.70 μB per cell.

a b c (Å): 5.4234 5.4234 5.4234
angles (deg): 60.00 60.00 60.00
Closest atoms and distances in Å follow each position.
Element x y z (fractional)
W  0.7500  0.7500  0.7500  12 Au 3.18, 4 Al 3.32
Au  0.3751  0.3751  0.3751  6 Au 2.71
Au  0.8747  0.3751  0.3751  6 Au 2.71
Au  0.3751  0.8747  0.3751  6 Au 2.71
Au  0.3751  0.3751  0.8747  6 Au 2.71
Al  0.0000  0.0000  0.0000  12 Au 3.18, 4 W 3.32

***

In eV/atom, the final energy values for the records above are, in order, -4.5186, -4.4912, -4.3877, -4.3018.